{
  "formula": "LiTeOsO",
  "functional": "PBE",
  "state": "relaxed",
  "lattice_angstrom": [[3.763, 0.000, 0.000], [0.000, 6.152, 0.000], [0.000, 0.000, 5.786]],
  "species": ["Li", "Li", "Te", "Te", "Os", "Os", "O", "O"],
  "fractional_positions": [[0.000, 0.195, 0.000], [0.000, 0.805, 0.500], [0.000, 0.279, 0.501], [0.000, 0.721, 0.001], [0.500, 0.500, 0.251], [0.500, 0.500, 0.751], [0.500, 0.264, 0.001], [0.500, 0.736, 0.501]],
  "e_above_lowest_polymorph_mev_per_atom": 0,
  "volume_a3_per_fu": 67.0,
  "magnetic_moment_mub_per_fu": 0.253,
  "sg": "Pmc2_1, No. 26",
  "mass_density_g_cm3": 8.4
}

{
  "formula": "LiTeOsO",
  "functional": "PBE",
  "state": "relaxed",
  "lattice_angstrom": [[3.687, 0.000, 0.000], [0.000, 3.687, 0.000], [0.000, 0.000, 8.709]],
  "species": ["Li", "Li", "Te", "Te", "Os", "Os", "O", "O"],
  "fractional_positions": [[0.250, 0.750, 0.000], [0.750, 0.250, 0.000], [0.250, 0.250, 0.228], [0.750, 0.750, 0.772], [0.250, 0.250, 0.645], [0.750, 0.750, 0.355], [0.250, 0.750, 0.500], [0.750, 0.250, 0.500]],
  "e_above_lowest_polymorph_mev_per_atom": 703,
  "volume_a3_per_fu": 59.2,
  "magnetic_moment_mub_per_fu": 0.008,
  "sg": "P4/nmm, No. 129",
  "mass_density_g_cm3": 9.6
}

{
  "formula": "Li4TlOsO6",
  "functional": "PBE",
  "state": "relaxed",
  "lattice_angstrom": [[2.690, -4.650, 0.000], [2.690, 4.650, 0.000], [-1.822, 0.000, 4.893]],
  "species": ["Li", "Li", "Li", "Li", "Tl", "Os", "O", "O", "O", "O", "O", "O"],
  "fractional_positions": [[0.000, 0.000, 0.000], [0.356, 0.644, 0.000], [0.677, 0.323, 0.000], [0.842, 0.158, 0.500], [0.177, 0.823, 0.500], [0.510, 0.490, 0.500], [0.125, 0.403, 0.254], [0.278, 0.273, 0.732], [0.438, 0.118, 0.254], [0.597, 0.875, 0.746], [0.727, 0.722, 0.268], [0.882, 0.562, 0.746]],
  "volume_a3_per_fu": 122.4,
  "final_energy_ev_per_atom": -5.65,
  "magnetic_moment_mub_per_fu": 2.997,
  "sg": "C2, No. 5",
  "mass_density_g_cm3": 7.0
}

{
  "formula": "LiYOs3O8",
  "functional": "PBE",
  "state": "relaxed",
  "lattice_angstrom": [[5.826, 0.000, 0.000], [-2.913, 5.046, 0.000], [0.000, 0.000, 5.090]],
  "species": ["Li", "Y", "Os", "Os", "Os", "O", "O", "O", "O", "O", "O", "O", "O"],
  "fractional_positions": [[0.000, 0.000, 0.000], [0.667, 0.333, 0.054], [0.183, 0.366, 0.566], [0.183, 0.817, 0.566], [0.634, 0.817, 0.566], [0.000, 0.000, 0.379], [0.020, 0.510, 0.311], [0.316, 0.158, 0.777], [0.333, 0.667, 0.831], [0.490, 0.510, 0.311], [0.490, 0.980, 0.311], [0.842, 0.158, 0.777], [0.842, 0.684, 0.777]],
  "volume_a3_per_fu": 149.6,
  "final_energy_ev_per_atom": -7.69,
  "magnetic_moment_mub_per_fu": 1.900,
  "sg": "P3m1, No. 156",
  "mass_density_g_cm3": 8.8
}

{
  "formula": "LiY2OsO6",
  "functional": "PBE",
  "state": "relaxed",
  "lattice_angstrom": [[5.283, 0.000, 0.000], [0.000, 5.707, 0.000], [-5.167, 0.000, 7.579]],
  "species": ["Li", "Li", "Y", "Y", "Y", "Y", "Os", "Os", "O", "O", "O", "O", "O", "O", "O", "O", "O", "O", "O", "O"],
  "fractional_positions": [[0.000, 0.000, 0.000], [0.000, 0.500, 0.500], [0.226, 0.079, 0.748], [0.226, 0.421, 0.248], [0.774, 0.579, 0.752], [0.774, 0.921, 0.252], [0.500, 0.000, 0.500], [0.500, 0.500, 0.000], [0.137, 0.183, 0.444], [0.137, 0.317, 0.944], [0.264, 0.704, 0.438], [0.264, 0.796, 0.938], [0.373, 0.044, 0.254], [0.373, 0.456, 0.754], [0.627, 0.544, 0.246], [0.627, 0.956, 0.746], [0.736, 0.204, 0.062], [0.736, 0.296, 0.562], [0.863, 0.683, 0.056], [0.863, 0.817, 0.556]],
  "volume_a3_per_fu": 114.3,
  "final_energy_ev_per_atom": -8.02,
  "magnetic_moment_mub_per_fu": 3.002,
  "sg": "P2_1/c, No. 14",
  "mass_density_g_cm3": 6.8
}

{
  "formula": "Li4ZrOsO6",
  "functional": "PBE",
  "state": "relaxed",
  "lattice_angstrom": [[2.606, -4.432, 0.000], [2.606, 4.432, 0.000], [-1.685, 0.000, 4.947]],
  "species": ["Li", "Li", "Li", "Li", "Zr", "Os", "O", "O", "O", "O", "O", "O"],
  "fractional_positions": [[0.000, 0.000, 0.000], [0.159, 0.841, 0.500], [0.489, 0.511, 0.500], [0.843, 0.157, 0.500], [0.653, 0.347, 0.000], [0.340, 0.660, 0.000], [0.096, 0.429, 0.230], [0.243, 0.253, 0.739], [0.421, 0.069, 0.238], [0.571, 0.904, 0.770], [0.747, 0.757, 0.261], [0.931, 0.579, 0.762]],
  "volume_a3_per_fu": 114.3,
  "final_energy_ev_per_atom": -6.80,
  "magnetic_moment_mub_per_fu": 2.000,
  "sg": "C2, No. 5",
  "mass_density_g_cm3": 5.9
}

{
  "formula": "LiPaPO",
  "functional": "PBE",
  "state": "relaxed",
  "lattice_angstrom": [[3.868, 0.000, 0.000], [0.000, 3.868, 0.000], [0.000, 0.000, 8.729]],
  "species": ["Li", "Li", "Pa", "Pa", "P", "P", "O", "O"],
  "fractional_positions": [[0.250, 0.750, 0.000], [0.750, 0.250, 0.000], [0.250, 0.250, 0.341], [0.750, 0.750, 0.659], [0.250, 0.250, 0.816], [0.750, 0.750, 0.184], [0.250, 0.750, 0.500], [0.750, 0.250, 0.500]],
  "e_above_lowest_polymorph_mev_per_atom": 0,
  "volume_a3_per_fu": 65.3,
  "magnetic_moment_mub_per_fu": 1.000,
  "sg": "P4/nmm, No. 129",
  "mass_density_g_cm3": 7.2
}

{
  "formula": "LiPaPO",
  "functional": "PBE",
  "state": "relaxed",
  "lattice_angstrom": [[4.438, 0.000, 0.000], [0.000, 5.838, 0.000], [0.000, 0.000, 5.696]],
  "species": ["Li", "Li", "Pa", "Pa", "P", "P", "O", "O"],
  "fractional_positions": [[0.000, 0.134, 0.000], [0.000, 0.866, 0.500], [0.500, 0.253, 0.390], [0.500, 0.747, 0.890], [0.500, 0.258, 0.889], [0.500, 0.742, 0.389], [0.000, 0.186, 0.359], [0.000, 0.814, 0.859]],
  "e_above_lowest_polymorph_mev_per_atom": 59,
  "volume_a3_per_fu": 73.8,
  "magnetic_moment_mub_per_fu": 0.975,
  "sg": "Pmc2_1, No. 26",
  "mass_density_g_cm3": 6.4
}

{
  "formula": "LiPaPO",
  "functional": "PBE",
  "state": "relaxed",
  "lattice_angstrom": [[4.073, 0.000, 0.000], [0.000, 4.232, 0.000], [0.000, 0.000, 6.820]],
  "species": ["Li", "Li", "Pa", "Pa", "P", "P", "O", "O"],
  "fractional_positions": [[0.000, 0.247, 0.000], [0.000, 0.753, 0.500], [0.500, 0.258, 0.665], [0.500, 0.742, 0.165], [0.000, 0.251, 0.341], [0.000, 0.749, 0.841], [0.500, 0.251, 0.001], [0.500, 0.749, 0.501]],
  "e_above_lowest_polymorph_mev_per_atom": 88,
  "volume_a3_per_fu": 58.8,
  "magnetic_moment_mub_per_fu": 1.000,
  "sg": "Pmc2_1, No. 26",
  "mass_density_g_cm3": 8.1
}

{
  "formula": "LiPaPO",
  "functional": "PBE",
  "state": "relaxed",
  "lattice_angstrom": [[5.592, 0.000, 0.000], [0.000, 5.592, 0.000], [0.000, 0.000, 4.492]],
  "species": ["Li", "Li", "Pa", "Pa", "P", "P", "O", "O"],
  "fractional_positions": [[0.250, 0.250, 0.003], [0.750, 0.750, 0.997], [0.250, 0.750, 0.500], [0.750, 0.250, 0.500], [0.250, 0.250, 0.503], [0.750, 0.750, 0.497], [0.250, 0.750, 0.000], [0.750, 0.250, 0.000]],
  "e_above_lowest_polymorph_mev_per_atom": 252,
  "volume_a3_per_fu": 70.2,
  "magnetic_moment_mub_per_fu": 0.440,
  "sg": "P4/nmm, No. 129",
  "mass_density_g_cm3": 6.7
}

{
  "formula": "LiPPdO",
  "functional": "PBE",
  "state": "relaxed",
  "lattice_angstrom": [[3.871, 0.000, 0.000], [0.000, 5.768, 0.000], [0.000, 0.000, 5.263]],
  "species": ["Li", "Li", "P", "P", "Pd", "Pd", "O", "O"],
  "fractional_positions": [[0.000, 0.115, 0.000], [0.000, 0.885, 0.500], [0.500, 0.343, 0.815], [0.500, 0.657, 0.315], [0.500, 0.264, 0.381], [0.500, 0.736, 0.881], [0.000, 0.177, 0.346], [0.000, 0.823, 0.846]],
  "e_above_lowest_polymorph_mev_per_atom": 200,
  "volume_a3_per_fu": 58.7,
  "sg": "Pmc2_1, No. 26",
  "mass_density_g_cm3": 4.5
}

{
  "formula": "LiPPdO",
  "functional": "PBE",
  "state": "relaxed",
  "lattice_angstrom": [[3.863, 0.000, 0.000], [0.000, 3.863, 0.000], [0.000, 0.000, 6.378]],
  "species": ["Li", "Li", "P", "P", "Pd", "Pd", "O", "O"],
  "fractional_positions": [[0.250, 0.250, 0.112], [0.750, 0.750, 0.888], [0.250, 0.250, 0.740], [0.750, 0.750, 0.260], [0.250, 0.750, 0.500], [0.750, 0.250, 0.500], [0.250, 0.750, 0.000], [0.750, 0.250, 0.000]],
  "e_above_lowest_polymorph_mev_per_atom": 113,
  "volume_a3_per_fu": 47.6,
  "sg": "P4/nmm, No. 129",
  "mass_density_g_cm3": 5.6
}

Which formula does entry 1 have? LiTeOsO